(1)
BaYZn at its PBEsol-relaxed geometry, computed with meta-GGA SCAN.

Summary:
**Energy relative to the elements**: -0.1331 eV/atom
**Total DFT energy (no corrections)**: -27.1025 eV per atom
**Size of the total moment**: 0.3 μB/f.u.

a = 3.7639 Å, b = 3.7639 Å, c = 7.1743 Å
α = 105.21°, β = 105.21°, γ = 90.00°
With the nearest neighbours (Å) after each atom.
Positions (direct):
Ba1 0.9798 0.9798 0.9596  4 Zn 3.50, 1 Y 3.58, 4 Ba 3.76
Y1 0.7112 0.7112 0.4223  4 Zn 2.96
Zn1 0.3090 0.3090 0.6181  4 Y 2.96



(2)
BaYZr at its PBEsol-relaxed geometry, computed with meta-GGA SCAN.

Summary:
**Energy relative to the elements**: 0.3988 eV/atom
**Total DFT energy (no corrections)**: -32.2985 eV per atom
**Size of the total moment**: 0.0 μB/f.u.

a = 3.4973 Å, b = 3.4973 Å, c = 8.8961 Å
α = 90.00°, β = 90.00°, γ = 120.00°
With the nearest neighbours (Å) after each atom.
Positions (direct):
Ba1 0.0000 0.0000 0.0152  6 Ba 3.50, 3 Zr 3.62
Y1 0.3333 0.6667 0.6324  3 Zr 3.21, 6 Y 3.50
Zr1 0.6667 0.3333 0.3525  3 Y 3.21, 6 Zr 3.50



(3)
BaY2Zr at its PBEsol-relaxed geometry, computed with meta-GGA SCAN.

Summary:
**Energy relative to the elements**: 0.4699 eV/atom
**Total DFT energy (no corrections)**: -31.0137 eV per atom
**Size of the total moment**: 0.8 μB/f.u.

a = 4.9744 Å, b = 4.9744 Å, c = 6.1015 Å
α = 114.06°, β = 114.06°, γ = 90.00°
With the nearest neighbours (Å) after each atom.
Positions (direct):
Ba1 0.2500 0.7500 0.5000  8 Y 3.52, 4 Zr 3.52
Y1 0.0000 0.0000 0.0000  4 Zr 3.52, 4 Ba 3.52, 4 Y 3.52
Y2 0.7500 0.2500 0.5000  4 Ba 3.52, 4 Zr 3.52, 4 Y 3.52
Zr1 0.5000 0.5000 0.0000  8 Y 3.52, 4 Ba 3.52



(4)
Ba5Zn at its PBEsol-relaxed geometry, computed with meta-GGA SCAN.

Summary:
**Distance to the lowest polymorph of the same formula**: 13.8 meV/atom
**Energy relative to the elements**: -0.0324 eV/atom
**Total DFT energy (no corrections)**: -35.2435 eV per atom
**Size of the total moment**: 0.0 μB/f.u.

a = 4.1686 Å, b = 7.6080 Å, c = 10.2906 Å
α = 69.31°, β = 78.31°, γ = 74.10°
With the nearest neighbours (Å) after each atom.
Positions (direct):
Zn1 0.5000 0.5000 0.5000  8 Ba 3.39-3.57
Ba1 0.1268 0.1198 0.6265  2 Zn 3.39
Ba2 0.5000 0.0000 0.0000  12 Ba 4.15-4.54
Ba3 0.8732 0.8802 0.3735  2 Zn 3.39
Ba4 0.8368 0.5527 0.7737  2 Zn 3.57, 2 Ba 3.90-3.99
Ba5 0.1632 0.4473 0.2263  2 Zn 3.57, 2 Ba 3.90-3.99



(5)
Ba3Zn at its PBEsol-relaxed geometry, computed with meta-GGA SCAN.

Summary:
**Energy relative to the elements**: -0.0277 eV/atom
**Total DFT energy (no corrections)**: -33.0692 eV per atom
**Size of the total moment**: 0.0 μB/f.u.

a = 4.1608 Å, b = 6.2147 Å, c = 7.7314 Å
α = 113.70°, β = 105.61°, γ = 90.00°
With the nearest neighbours (Å) after each atom.
Positions (direct):
Zn1 0.0000 0.5000 0.0000  8 Ba 3.34-3.74
Ba1 0.6933 0.6933 0.3866  2 Zn 3.34
Ba2 0.3067 0.3067 0.6134  2 Zn 3.34
Ba3 0.5000 0.0000 0.0000  4 Zn 3.74, 6 Ba 4.06-4.16



(6)
Ba3Zn2 at its PBEsol-relaxed geometry, computed with meta-GGA SCAN.

Summary:
**Energy relative to the elements**: -0.1100 eV/atom
**Total DFT energy (no corrections)**: -29.2462 eV per atom
**Size of the total moment**: 0.0 μB/f.u.

a = 5.6697 Å, b = 5.6697 Å, c = 6.8974 Å
α = 90.00°, β = 90.00°, γ = 120.00°
With the nearest neighbours (Å) after each atom.
Positions (direct):
Zn1 0.3333 0.6667 0.8445  8 Ba 3.32-3.58
Zn2 0.6667 0.3333 0.1555  8 Ba 3.32-3.58
Ba1 0.0000 0.0000 0.0000  6 Zn 3.44
Ba2 0.3333 0.6667 0.3257  5 Zn 3.32-3.58
Ba3 0.6667 0.3333 0.6743  5 Zn 3.32-3.58



(7)
Ba3Zn at its PBEsol-relaxed geometry, computed with meta-GGA SCAN.

Summary:
**Energy relative to the elements**: -0.0651 eV/atom
**Total DFT energy (no corrections)**: -33.1065 eV per atom
**Size of the total moment**: 0.8 μB/f.u.

a = 7.5768 Å, b = 8.4041 Å, c = 11.2973 Å
α = 90.00°, β = 90.00°, γ = 90.00°
With the nearest neighbours (Å) after each atom.
Positions (direct):
Ba1 0.1330 0.0266 0.7500  2 Zn 3.34-3.38
Ba2 0.6330 0.4734 0.2500  2 Zn 3.34-3.38
Ba3 0.3670 0.5266 0.7500  2 Zn 3.34-3.38
Ba4 0.8670 0.9734 0.2500  2 Zn 3.34-3.38
Ba5 0.6733 0.1785 0.9355  2 Zn 3.35-3.44
Ba6 0.1733 0.3215 0.0645  2 Zn 3.35-3.44
Ba7 0.8267 0.6785 0.5645  2 Zn 3.35-3.44
Ba8 0.3267 0.8215 0.4355  2 Zn 3.35-3.44
Ba9 0.3267 0.8215 0.0645  2 Zn 3.35-3.44
Ba10 0.8267 0.6785 0.9355  2 Zn 3.35-3.44
Ba11 0.1733 0.3215 0.4355  2 Zn 3.35-3.44
Ba12 0.6733 0.1785 0.5645  2 Zn 3.35-3.44
Zn1 0.5516 0.8876 0.7500  6 Ba 3.34-3.44
Zn2 0.0516 0.6124 0.2500  6 Ba 3.34-3.44
Zn3 0.9484 0.3876 0.7500  6 Ba 3.34-3.44
Zn4 0.4484 0.1124 0.2500  6 Ba 3.34-3.44



(8)
Ba4Zn3 at its PBEsol-relaxed geometry, computed with meta-GGA SCAN.

Summary:
**Energy relative to the elements**: -0.0787 eV/atom
**Total DFT energy (no corrections)**: -28.4710 eV per atom
**Size of the total moment**: 0.0 μB/f.u.

a = 4.0424 Å, b = 4.0424 Å, c = 16.1030 Å
α = 97.21°, β = 97.21°, γ = 90.00°
With the nearest neighbours (Å) after each atom.
Positions (direct):
Zn1 0.0000 0.0000 0.0000  8 Ba 3.42
Zn2 0.7277 0.7277 0.4553  5 Ba 3.17-3.35, 4 Zn 3.19
Zn3 0.2723 0.2723 0.5447  5 Ba 3.17-3.35, 4 Zn 3.19
Ba1 0.8276 0.8276 0.6553  5 Zn 3.17-3.35
Ba2 0.1724 0.1724 0.3447  5 Zn 3.17-3.35
Ba3 0.5595 0.5595 0.1190  4 Zn 3.42, 1 Ba 3.77
Ba4 0.4405 0.4405 0.8810  4 Zn 3.42, 1 Ba 3.77